Cu4Ag5 | PBE-GGA | optimized geometry

Properties
Formation energy (meV per atom): 101
Space-group type: No. 146
Relative energy among the computed polymorphs (meV/atom): 63
Volume (Å³ per cell): 138.3

Cell: 7.2740 7.2740 7.2740 Å, 39.20 39.20 39.20°
Last column: nearest neighbours and their distance in Å.
Atoms (fractional coordinates):
Ag: 0.8936 0.8936 0.8936  6 Cu 2.68-2.82, 6 Ag 2.82-2.91
Ag: 0.1116 0.4398 0.7714  4 Cu 2.71-2.91, 8 Ag 2.79-2.91
Ag: 0.4398 0.7714 0.1116  4 Cu 2.71-2.91, 8 Ag 2.79-2.91
Ag: 0.7714 0.1116 0.4398  4 Cu 2.71-2.91, 8 Ag 2.79-2.91
Ag: 0.2269 0.2269 0.2269  6 Cu 2.69-2.82, 6 Ag 2.82-2.90
Cu: 0.3462 0.9833 0.6654  7 Cu 2.60-2.89, 5 Ag 2.68-2.77
Cu: 0.5617 0.5617 0.5617  3 Cu 2.60, 6 Ag 2.82
Cu: 0.6654 0.3462 0.9833  7 Cu 2.60-2.89, 5 Ag 2.68-2.77
Cu: 0.9833 0.6654 0.3462  7 Cu 2.60-2.89, 5 Ag 2.68-2.77

=====

Cu3Ag2 | PBE-GGA | optimized geometry

Properties
Formation energy (meV per atom): 86
Space-group type: No. 12
Relative energy among the computed polymorphs (meV/atom): 44
Volume (Å³ per cell): 142.5

Cell: 4.7042 4.7042 11.6655 Å, 99.98 99.98 34.13°
Last column: nearest neighbours and their distance in Å.
Atoms (fractional coordinates):
Cu: 0.3033 0.3033 0.0853  10 Cu 2.47-2.76, 2 Ag 2.68
Cu: 0.6967 0.6967 0.9147  10 Cu 2.47-2.76, 2 Ag 2.68
Cu: 0.5000 0.5000 0.5000  10 Ag 2.74-2.89, 2 Cu 2.76
Cu: 0.0000 0.0000 0.0000  12 Cu 2.52-2.76
Cu: 0.3915 0.3915 0.8242  7 Cu 2.52-2.76, 3 Ag 2.74
Cu: 0.6085 0.6085 0.1758  7 Cu 2.52-2.76, 3 Ag 2.74
Ag: 0.0936 0.0936 0.7192  7 Cu 2.68-2.89, 5 Ag 2.72-2.82
Ag: 0.9064 0.9064 0.2808  7 Cu 2.68-2.89, 5 Ag 2.72-2.82
Ag: 0.8004 0.8004 0.6071  7 Ag 2.72-2.86, 5 Cu 2.74-2.87
Ag: 0.1996 0.1996 0.3929  7 Ag 2.72-2.86, 5 Cu 2.74-2.87

=====

Cu3Ag2 | PBE-GGA | optimized geometry

Properties
Formation energy (meV per atom): 98
Space-group type: No. 8
Relative energy among the computed polymorphs (meV/atom): 56
Volume (Å³ per cell): 143.0

Cell: 4.7447 4.7447 8.6383 Å, 90.37 90.37 47.36°
Last column: nearest neighbours and their distance in Å.
Atoms (fractional coordinates):
Cu: 0.1946 0.1946 0.3872  6 Cu 2.61-2.80, 6 Ag 2.69-2.86
Cu: 0.3012 0.3012 0.1031  8 Cu 2.63-2.73, 4 Ag 2.64
Cu: 0.0020 0.0020 0.0059  5 Ag 2.62-2.75, 7 Cu 2.67-2.73
Cu: 0.6003 0.6003 0.2029  8 Cu 2.61-2.73, 4 Ag 2.66-2.71
Cu: 0.5021 0.5021 0.4882  4 Cu 2.61-2.80, 7 Ag 2.70-2.76
Cu: 0.4028 0.4028 0.8132  4 Cu 2.66-2.94, 8 Ag 2.71-2.85
Ag: 0.0940 0.0940 0.7015  7 Cu 2.71-2.86, 5 Ag 2.73-2.81
Ag: 0.7046 0.7046 0.9145  9 Cu 2.64-2.76, 3 Ag 2.81-2.91
Ag: 0.9000 0.9000 0.2910  11 Cu 2.62-2.74, 1 Ag 2.76
Ag: 0.7984 0.7984 0.5924  7 Cu 2.72-2.84, 5 Ag 2.73-2.91

=====

Cu3Ag5 | PBE-GGA | optimized geometry

Properties
Formation energy (meV per atom): 86
Space-group type: No. 8
Relative energy among the computed polymorphs (meV/atom): 49
Volume (Å³ per cell): 125.7

Cell: 6.1520 6.1520 9.4153 Å, 126.68 126.68 26.54°
Last column: nearest neighbours and their distance in Å.
Atoms (fractional coordinates):
Ag: 0.7479 0.7479 0.2468  5 Cu 2.77-2.81, 7 Ag 2.82-2.93
Ag: 0.3737 0.3737 0.1130  7 Ag 2.75-2.86, 5 Cu 2.78-2.97
Ag: 0.8895 0.8895 0.6347  5 Cu 2.69-2.75, 7 Ag 2.82-2.94
Ag: 0.1217 0.1217 0.3802  3 Cu 2.74-3.00, 9 Ag 2.82-2.93
Ag: 0.2419 0.2419 0.7494  6 Ag 2.75-2.94, 6 Cu 2.76-2.87
Cu: 0.0038 0.0038 0.9925  4 Cu 2.62-2.82, 7 Ag 2.75-2.87
Cu: 0.4984 0.4984 0.5002  9 Ag 2.71-2.97, 3 Cu 2.82-2.94
Cu: 0.6230 0.6230 0.8833  5 Cu 2.62-2.94, 7 Ag 2.69-2.80

=====

Cu3Ag2 | PBE-GGA | optimized geometry

Properties
Formation energy (meV per atom): 77
Space-group type: No. 11
Relative energy among the computed polymorphs (meV/atom): 35
Volume (Å³ per cell): 143.7

Cell: 4.5665 2.7687 11.3645 Å, 90.00 90.19 90.00°
Last column: nearest neighbours and their distance in Å.
Atoms (fractional coordinates):
Cu: 0.9179 0.7500 0.4113  10 Cu 2.50-2.77
Cu: 0.5758 0.7500 0.5870  11 Cu 2.49-2.77
Cu: 0.0821 0.2500 0.5887  10 Cu 2.50-2.77
Cu: 0.4242 0.2500 0.4130  11 Cu 2.49-2.77
Cu: 0.7336 0.2500 0.7578  5 Cu 2.49-2.77, 6 Ag 2.69-2.71
Cu: 0.2664 0.7500 0.2422  5 Cu 2.49-2.77, 6 Ag 2.69-2.71
Ag: 0.7639 0.2500 0.2038  7 Cu 2.70-2.84, 4 Ag 2.77-2.99
Ag: 0.2361 0.7500 0.7962  7 Cu 2.70-2.84, 4 Ag 2.77-2.99
Ag: 0.2510 0.2500 0.0391  2 Cu 2.69, 8 Ag 2.77-2.99
Ag: 0.7490 0.7500 0.9609  2 Cu 2.69, 8 Ag 2.77-2.99

=====

CuAg | PBE-GGA | optimized geometry

Properties
Formation energy (meV per atom): 101
Space-group type: No. 65
Volume (Å³ per cell): 149.0

Cell: 10.1964 10.1964 3.9608 Å, 90.00 90.00 158.79°
Last column: nearest neighbours and their distance in Å.
Atoms (fractional coordinates):
Ag: 0.0999 0.9001 0.0000  8 Cu 2.73-2.77, 4 Ag 2.80-2.82
Ag: 0.1988 0.8012 0.5000  8 Cu 2.73-2.81, 4 Ag 2.78-2.80
Ag: 0.9001 0.0999 0.0000  8 Cu 2.73-2.77, 4 Ag 2.80-2.82
Ag: 0.0000 0.0000 0.5000  8 Cu 2.73-2.75, 4 Ag 2.82
Ag: 0.8012 0.1988 0.5000  8 Cu 2.73-2.81, 4 Ag 2.78-2.80
Cu: 0.6000 0.4000 0.5000  8 Ag 2.73-2.75, 4 Cu 2.82-2.84
Cu: 0.7018 0.2982 0.0000  4 Cu 2.69-2.84, 8 Ag 2.73-2.81
Cu: 0.2982 0.7018 0.0000  4 Cu 2.69-2.84, 8 Ag 2.73-2.81
Cu: 0.4000 0.6000 0.5000  8 Ag 2.73-2.75, 4 Cu 2.82-2.84
Cu: 0.5000 0.5000 0.0000  8 Ag 2.73-2.74, 4 Cu 2.82

=====

Cu4Ag3 | PBE-GGA | optimized geometry

Properties
Formation energy (meV per atom): 106
Space-group type: No. 160
Relative energy among the computed polymorphs (meV/atom): 57
Volume (Å³ per cell): 102.3

Cell: 15.5411 15.5411 15.5411 Å, 10.20 10.20 10.20°
Last column: nearest neighbours and their distance in Å.
Atoms (fractional coordinates):
Ag: 0.5697 0.5697 0.5697  3 Cu 2.74, 9 Ag 2.76-2.97
Ag: 0.1398 0.1398 0.1398  6 Cu 2.76, 6 Ag 2.76
Ag: 0.2905 0.2905 0.2905  3 Cu 2.75, 9 Ag 2.76-2.97
Cu: 0.7151 0.7151 0.7151  12 Cu 2.55-2.76
Cu: 0.8549 0.8549 0.8549  6 Ag 2.74-2.76, 6 Cu 2.76
Cu: 0.0055 0.0055 0.0055  9 Cu 2.55-2.76, 3 Ag 2.75
Cu: 0.4245 0.4245 0.4245  9 Cu 2.55-2.76, 3 Ag 2.76

=====

CuAg2 | PBE-GGA | optimized geometry

Properties
Formation energy (meV per atom): 90
Space-group type: No. 12
Relative energy among the computed polymorphs (meV/atom): 59
Volume (Å³ per cell): 95.7

Cell: 4.8716 4.8716 7.8417 Å, 112.59 112.59 34.18°
Last column: nearest neighbours and their distance in Å.
Atoms (fractional coordinates):
Cu: 0.3285 0.3285 0.6509  4 Cu 2.65-2.86, 8 Ag 2.74-2.93
Cu: 0.6715 0.6715 0.3491  4 Cu 2.65-2.86, 8 Ag 2.74-2.93
Ag: 0.0000 0.0000 0.5000  6 Cu 2.74-2.80, 6 Ag 2.80-2.86
Ag: 0.3286 0.3286 0.1744  3 Cu 2.77-2.93, 9 Ag 2.80-2.91
Ag: 0.0000 0.0000 0.0000  8 Ag 2.81-2.87, 4 Cu 2.93
Ag: 0.6714 0.6714 0.8256  3 Cu 2.77-2.93, 9 Ag 2.80-2.91

=====

Q: Which formula does entry 2 have?
A: Cu3Ag2